# 1
{"formula": "BeAuNO", "functional": "PBE", "state": "relaxed", "lattice_angstrom": [[3.289, 0.000, 0.000], [0.000, 3.289, 0.000], [0.000, 0.000, 8.496]], "species": ["Be", "Be", "Au", "Au", "N", "N", "O", "O"], "frac_coords": [[0.250, 0.750, 0.000], [0.750, 0.250, 0.000], [0.250, 0.250, 0.313], [0.750, 0.750, 0.687], [0.250, 0.250, 0.075], [0.750, 0.750, 0.925], [0.250, 0.750, 0.500], [0.750, 0.250, 0.500]], "e_above_lowest_polymorph_mev_per_atom": 606, "density_g_cm3": 8.528, "e_tot_ha_per_atom": -0.1755}

***

# 2
{"formula": "BeAuNO", "functional": "PBE", "state": "relaxed", "lattice_angstrom": [[2.773, 0.000, 0.000], [0.000, 5.665, 0.000], [0.000, 0.000, 5.552]], "species": ["Be", "Be", "Au", "Au", "N", "N", "O", "O"], "frac_coords": [[0.000, 0.126, 0.000], [0.000, 0.874, 0.500], [0.500, 0.382, 0.402], [0.500, 0.618, 0.902], [0.000, 0.124, 0.327], [0.000, 0.876, 0.827], [0.500, 0.248, 0.920], [0.500, 0.752, 0.420]], "e_above_lowest_polymorph_mev_per_atom": 25, "density_g_cm3": 8.986, "e_tot_ha_per_atom": -0.1969}

***

# 3
{"formula": "NaBeAu", "functional": "PBE", "state": "relaxed", "lattice_angstrom": [[0.000, 2.982, 2.982], [2.982, 0.000, 2.982], [2.982, 2.982, 0.000]], "species": ["Na", "Be", "Au"], "frac_coords": [[0.000, 0.000, 0.000], [0.750, 0.750, 0.750], [0.500, 0.500, 0.500]], "density_g_cm3": 7.168, "e_tot_ha_per_atom": -0.0932}

***

# 4
{"formula": "BeNbAu", "functional": "PBE", "state": "relaxed", "lattice_angstrom": [[0.000, 3.025, 3.025], [3.025, 0.000, 3.025], [3.025, 3.025, 0.000]], "species": ["Be", "Nb", "Au"], "frac_coords": [[0.000, 0.000, 0.000], [0.750, 0.750, 0.750], [0.500, 0.500, 0.500]], "e_above_lowest_polymorph_mev_per_atom": 460, "density_g_cm3": 8.966, "e_tot_ha_per_atom": -0.1853}

***

# 5
{"formula": "BeNbAu", "functional": "PBE", "state": "relaxed", "lattice_angstrom": [[0.000, 2.878, 2.878], [2.878, 0.000, 2.878], [2.878, 2.878, 0.000]], "species": ["Be", "Nb", "Au"], "frac_coords": [[0.000, 0.000, 0.000], [0.250, 0.250, 0.250], [0.750, 0.750, 0.750]], "e_above_lowest_polymorph_mev_per_atom": 0, "density_g_cm3": 10.406, "e_tot_ha_per_atom": -0.2022}

***

# 6
{"formula": "BeNbPdAu", "functional": "PBE", "state": "relaxed", "lattice_angstrom": [[0.000, 3.121, 3.121], [3.121, 0.000, 3.121], [3.121, 3.121, 0.000]], "species": ["Be", "Nb", "Pd", "Au"], "frac_coords": [[0.000, 0.000, 0.000], [0.750, 0.750, 0.750], [0.250, 0.250, 0.250], [0.500, 0.500, 0.500]], "e_above_lowest_polymorph_mev_per_atom": 31, "density_g_cm3": 11.067, "e_tot_ha_per_atom": -0.2060}